# Tb4TeSe3 (GGA-PBE, optimized geometry)
# **DOS(E_F)**: 0.401 states/eV per atom
# **Energy above the lowest structure with this stoichiometry**: 226 meV per atom
# **Size of the total moment**: 0.0 μB/cell
# **E**: -5.469 eV per atom
# **ρ**: 6.85 g/cm³
# **Raw formation energy**: -1.4546 eV/atom
data_Tb4TeSe3
_symmetry_space_group_name_H-M 'P m m n'
_symmetry_Int_Tables_number 59
_cell_length_a 5.8540
_cell_length_b 9.8575
_cell_length_c 8.4021
_cell_angle_alpha 90.00
_cell_angle_beta 90.00
_cell_angle_gamma 90.00
loop_
_symmetry_equiv_pos_as_xyz
'x,y,z'
'-x,-y,-z'
'-x+1/2,-y+1/2,z'
'x+1/2,y+1/2,-z'
'x+1/2,-y,-z'
'-x+1/2,y,z'
'-x,y+1/2,-z'
'x,-y+1/2,z'
loop_
_atom_site_label
_atom_site_fract_x
_atom_site_fract_y
_atom_site_fract_z
Tb1 0.2500 0.0553 0.1499
Tb2 0.2500 0.2500 0.7502
Tb3 0.2500 0.7500 0.6183
Te1 0.2500 0.7500 0.2504
Se1 0.2500 0.2500 0.4063
Se2 0.2500 0.5351 0.8287